[1]
# CoMo2H2 | Alexandria | PBE | optimized geometry
data_CoMo2H2
_chemical_formula_sum 'Co2 Mo4 H4'
_cell_length_a 5.870
_cell_length_b 5.870
_cell_length_c 2.712
_cell_angle_alpha 90.00
_cell_angle_beta 90.00
_cell_angle_gamma 90.00
_symmetry_space_group_name_H-M 'P 4/m b m'
_symmetry_Int_Tables_number 127
_symmetry_space_group_name_Hall '-P 4 2ab'
loop_
_atom_site_label
_atom_site_type_symbol
_atom_site_fract_x
_atom_site_fract_y
_atom_site_fract_z
Co1 Co 0.000 0.000 0.000
Mo1 Mo 0.156 0.344 0.500
H1 H 0.154 0.654 0.000
# Polymorph energy (0 for the lowest one) (eV per atom): 0.076

---

[2]
# TmZn9Pd2 | Alexandria | PBE | optimized geometry
data_TmZn9Pd2
_chemical_formula_sum 'Tm4 Zn36 Pd8'
_cell_length_a 10.523
_cell_length_b 10.523
_cell_length_c 6.931
_cell_angle_alpha 90.00
_cell_angle_beta 90.00
_cell_angle_gamma 90.00
_symmetry_space_group_name_H-M 'I 41/a m d'
_symmetry_Int_Tables_number 141
loop_
_symmetry_equiv_pos_as_xyz
'x,y,z'
'-x,-y,-z'
'-y+1/4,x+3/4,z+1/4'
'y+1/4,-x+3/4,-z+1/4'
'-x+1/2,-y,z+1/2'
'x+1/2,y,-z+1/2'
'y+1/4,-x+1/4,z+3/4'
'-y+1/4,x+1/4,-z+3/4'
'x,-y,-z'
'-x,y,z'
'-y+1/4,-x+1/4,-z+3/4'
'y+1/4,x+1/4,z+3/4'
'-x+1/2,y,-z+1/2'
'x+1/2,-y,z+1/2'
'y+1/4,x+3/4,-z+1/4'
'-y+1/4,-x+3/4,z+1/4'
'x+1/2,y+1/2,z+1/2'
'-x+1/2,-y+1/2,-z+1/2'
'-y+3/4,x+1/4,z+3/4'
'y+3/4,-x+1/4,-z+3/4'
'-x,-y+1/2,z'
'x,y+1/2,-z'
'y+3/4,-x+3/4,z+1/4'
'-y+3/4,x+3/4,-z+1/4'
'x+1/2,-y+1/2,-z+1/2'
'-x+1/2,y+1/2,z+1/2'
'-y+3/4,-x+3/4,-z+1/4'
'y+3/4,x+3/4,z+1/4'
'-x,y+1/2,-z'
'x,-y+1/2,z'
'y+3/4,x+1/4,-z+3/4'
'-y+3/4,-x+1/4,z+3/4'
loop_
_atom_site_label
_atom_site_type_symbol
_atom_site_fract_x
_atom_site_fract_y
_atom_site_fract_z
Tm1 Tm 0.000 0.250 0.375
Zn1 Zn 0.000 0.250 0.875
Zn2 Zn 0.120 0.044 0.674
Pd1 Pd 0.000 0.000 0.000
# Polymorph energy (0 for the lowest one) (eV per atom): 0.000

---

[3]
# TeW3Br | Alexandria | PBE | optimized geometry
data_TeW3Br
_chemical_formula_sum 'Te1 W3 Br1'
_cell_length_a 4.687
_cell_length_b 4.687
_cell_length_c 4.687
_cell_angle_alpha 90.00
_cell_angle_beta 90.00
_cell_angle_gamma 90.00
_symmetry_space_group_name_H-M 'P m -3 m'
_symmetry_Int_Tables_number 221
_symmetry_space_group_name_Hall '-P 4 2 3'
loop_
_atom_site_label
_atom_site_type_symbol
_atom_site_fract_x
_atom_site_fract_y
_atom_site_fract_z
Te1 Te 0.000 0.000 0.000
W1 W 0.000 0.500 0.500
Br1 Br 0.500 0.500 0.500
# Raw formation energy (meV per atom): 2252
# Polymorph energy (0 for the lowest one) (eV per atom): 0.000

---

[4]
# Rb2CaYAl | Alexandria | PBE | optimized geometry
data_Rb2CaYAl
_chemical_formula_sum 'Rb2 Ca1 Y1 Al1'
_cell_length_a 6.968
_cell_length_b 6.968
_cell_length_c 6.385
_cell_angle_alpha 90.00
_cell_angle_beta 90.00
_cell_angle_gamma 90.00
_symmetry_space_group_name_H-M 'P 4/m m m'
_symmetry_Int_Tables_number 123
_symmetry_space_group_name_Hall '-P 4 2'
loop_
_atom_site_label
_atom_site_type_symbol
_atom_site_fract_x
_atom_site_fract_y
_atom_site_fract_z
Rb1 Rb 0.000 0.500 0.000
Ca1 Ca 0.000 0.000 0.000
Y1 Y 0.000 0.000 0.500
Al1 Al 0.500 0.500 0.500
# Calculated total energy (eV/f.u.): -8.3

---

How do the records compare in spin magnetization? In the order shown, they have 1.45, 0.00, 0.00, 3.06 Bohr magnetons per cell.